# 1
{"formula": "P3Pb", "functional": "PBE-GGA", "state": "relaxed", "cell": [[3.4921, 0.0000, 0.0000], [0.0000, 3.8187, 0.0000], [0.0000, 0.0000, 6.0215]], "species": ["P", "P", "P", "Pb"], "fractional_positions": [[0.5000, 0.5000, 0.3244], [0.0000, 0.0000, 0.5000], [0.5000, 0.5000, 0.6756], [0.0000, 0.0000, 0.0000]], "space_group": "Pmmm, No. 47", "total_energy_ev_per_fu": -17.924, "e_form_ev_per_fu": 2.0, "crystal_system": "orthorhombic"}

=====

# 2
{"formula": "AlGaCuSb2", "functional": "PBE-GGA", "state": "relaxed", "cell": [[5.1971, 0.0000, 0.0000], [0.0000, 4.5766, 0.0000], [0.0000, 0.0000, 5.1971]], "species": ["Sb", "Sb", "Al", "Cu", "Ga"], "fractional_positions": [[0.5000, 0.0000, 0.0000], [0.0000, 0.0000, 0.5000], [0.0000, 0.5000, 0.0000], [0.0000, 0.0000, 0.0000], [0.5000, 0.5000, 0.5000]], "space_group": "P4/mmm, No. 123", "total_energy_ev_per_fu": -17.241, "crystal_system": "tetragonal"}